VASP calculation (PBE) on crystalline Ho2PaAs3 at its relaxed geometry. Values from VASP.

## Properties
Crystal system   orthorhombic
DFT formation energy   -1.365 eV per atom
Raw total energy   -6.80 eV/atom
Calculated volume   24.23 A^3/atom
DOS at the Fermi energy   4.7 states/eV/cell

```
&SYSTEM
  ibrav = 0, nat = 6, ntyp = 3
/
ATOMIC_SPECIES
Ho 164.93 Ho.upf
Pa 231.04 Pa.upf
As 74.92 As.upf
CELL_PARAMETERS angstrom
3.970 -0.120 -1.024
-0.465 5.232 -2.414
-0.293 0.045 7.076
ATOMIC_POSITIONS crystal
Ho 0.168 0.667 0.335
Ho 0.832 0.333 0.665
Pa 0.500 0.000 0.000
As 0.500 0.500 0.000
As 0.165 0.165 0.330
As 0.835 0.835 0.670
```